This record from the Alexandria database describes a relaxed structure of La2Ge5Ru3. The functional is PBEsol.

```
La2Ge5Ru3
1.0
-4.575 0.314 3.650
-7.256 0.252 -4.411
-3.776 -7.584 0.624
La Ge Ru
4 10 6
Direct
0.363 0.367 0.906
0.863 0.906 0.367
0.137 0.094 0.633
0.637 0.633 0.094
0.409 0.761 0.422
0.040 0.710 0.710
0.460 0.290 0.290
0.091 0.578 0.239
0.250 0.000 0.000
0.591 0.239 0.578
0.909 0.422 0.761
0.540 0.710 0.710
0.960 0.290 0.290
0.750 0.000 0.000
0.354 0.053 0.239
0.146 0.761 0.947
0.646 0.947 0.761
0.854 0.239 0.053
0.750 0.500 0.500
0.250 0.500 0.500
```

As for the formation enthalpy at 0 K: -0.6788 eV per atom. For the total DFT energy (no corrections), the calculation gives -145.39 eV per cell.

***

This record from the Alexandria database describes a relaxed structure of Lu2S3O12. The functional is PBEsol.

```
Lu2S3O12
1.0
-3.570 8.261 -0.342
-7.772 1.371 -4.339
-7.683 1.795 4.982
Lu S O
4 6 24
Direct
0.356 0.356 0.931
0.856 0.856 0.431
0.144 0.144 0.569
0.644 0.644 0.069
0.035 0.750 0.750
0.250 0.535 0.250
0.535 0.965 0.250
0.465 0.035 0.750
0.750 0.465 0.750
0.965 0.250 0.250
0.375 0.993 0.403
0.993 0.229 0.403
0.196 0.589 0.777
0.875 0.729 0.903
0.229 0.375 0.403
0.271 0.507 0.097
0.562 0.804 0.223
0.062 0.911 0.723
0.089 0.696 0.277
0.411 0.562 0.223
0.696 0.938 0.277
0.507 0.125 0.097
0.493 0.875 0.903
0.304 0.062 0.723
0.589 0.438 0.777
0.911 0.304 0.723
0.938 0.089 0.277
0.438 0.196 0.777
0.729 0.493 0.903
0.771 0.625 0.597
0.125 0.271 0.097
0.804 0.411 0.223
0.007 0.771 0.597
0.625 0.007 0.597
```

For the total DFT energy (no corrections), the calculation gives -247.68 eV per cell. The value obtained for the uncorrected formation energy is -215.41 kJ per mole of atoms.

***

This record from the Alexandria database describes a relaxed structure of CaZr2P. The functional is PBEsol.

```
CaZr2P
1.0
-1.942 2.938 -0.639
-0.968 0.812 -3.349
-8.373 -3.425 -0.324
Ca P Zr
1 1 2
Direct
0.000 0.000 0.000
0.500 0.500 0.500
0.222 0.222 0.335
0.778 0.778 0.665
```

As for the formation enthalpy at 0 K: -0.5543 eV per atom. For the total DFT energy (no corrections), the calculation gives -28.32 eV per cell.

***

This record from the Alexandria database describes a relaxed structure of Sm5P12Ru19. The functional is PBEsol.

```
Sm5P12Ru19
1.0
-2.810 -2.561 -1.025
8.079 -5.907 -7.398
-1.204 -3.441 11.900
Sm P Ru
5 12 19
Direct
0.500 0.816 0.000
0.500 0.184 0.184
0.500 0.000 0.816
0.000 0.667 0.333
0.000 0.333 0.667
0.000 0.185 0.000
0.000 0.815 0.815
0.000 0.000 0.185
0.500 0.829 0.306
0.500 0.477 0.171
0.500 0.694 0.523
0.500 0.306 0.829
0.500 0.171 0.477
0.500 0.523 0.694
0.000 0.626 0.000
0.000 0.374 0.374
0.000 0.000 0.626
0.000 0.444 0.000
0.000 0.556 0.556
0.000 0.000 0.444
0.500 0.284 0.000
0.500 0.716 0.716
0.500 0.000 0.284
0.000 0.816 0.193
0.000 0.378 0.184
0.000 0.807 0.622
0.000 0.193 0.816
0.000 0.184 0.378
0.000 0.622 0.807
0.500 0.634 0.124
0.500 0.491 0.366
0.500 0.876 0.509
0.500 0.124 0.634
0.500 0.366 0.491
0.500 0.509 0.876
0.000 0.000 0.000
```

As for the formation enthalpy at 0 K: -0.8821 eV per atom. For the total DFT energy (no corrections), the calculation gives -319.99 eV per cell.

***

This record from the Alexandria database describes a relaxed structure of BaS3Br. The functional is PBEsol.

```
BaS3Br
1.0
-0.412 4.757 1.343
-2.410 0.983 -4.223
-4.316 -1.003 2.229
S Ba Br
3 1 1
Direct
0.000 0.500 0.000
0.000 0.000 0.500
0.500 0.000 0.000
0.500 0.500 0.500
0.000 0.000 0.000
```

For the total DFT energy (no corrections), the calculation gives -19.09 eV per cell. The value obtained for the uncorrected formation energy is -37.02 kJ per mole of atoms.

***

This record from the Alexandria database describes a relaxed structure of Co3SnRh. The functional is PBEsol.

```
Co3SnRh
1.0
4.463 0.000 0.000
0.000 4.463 0.000
0.000 0.000 4.463
Co Rh Sn
3 1 1
Direct
0.000 0.500 0.000
0.000 0.000 0.500
0.500 0.000 0.000
0.000 0.000 0.000
0.500 0.500 0.500
```

As for the formation enthalpy at 0 K: 1.2069 eV per atom. For the total DFT energy (no corrections), the calculation gives -29.57 eV per cell.

***

This record from the Alexandria database describes a relaxed structure of LiTlOs3. The functional is PBEsol.

```
LiTlOs3
1.0
-2.864 -2.285 3.351
-3.278 -1.112 -3.560
2.389 -4.266 -0.868
Tl Os Li
1 3 1
Direct
0.000 0.000 0.000
0.000 0.500 0.000
0.000 0.000 0.500
0.500 0.000 0.000
0.500 0.500 0.500
```

As for the formation enthalpy at 0 K: 3.1783 eV per atom. For the total DFT energy (no corrections), the calculation gives -25.35 eV per cell.

***

This record from the Alexandria database describes a relaxed structure of LiLa3Ti. The functional is PBEsol.

```
LiLa3Ti
1.0
5.273 0.000 0.000
0.000 5.273 0.000
0.000 0.000 5.273
Ti Li La
1 1 3
Direct
0.500 0.500 0.500
0.000 0.000 0.000
0.000 0.500 0.000
0.000 0.000 0.500
0.500 0.000 0.000
```

As for the formation enthalpy at 0 K: 0.7955 eV per atom. For the total DFT energy (no corrections), the calculation gives -22.35 eV per cell.

***

This record from the Alexandria database describes a relaxed structure of Mg2InNi. The functional is PBEsol.

```
Mg2InNi
1.0
-0.702 -1.407 2.626
2.656 -1.520 -0.104
3.334 5.561 3.872
Ni Mg In
1 2 1
Direct
0.500 0.500 0.500
0.000 0.000 0.697
0.000 0.000 0.303
0.500 0.500 0.000
```

As for the formation enthalpy at 0 K: -0.1237 eV per atom. For the total DFT energy (no corrections), the calculation gives -13.07 eV per cell.

***

This record from the Alexandria database describes a relaxed structure of CaSbPb2. The functional is PBEsol.

```
CaSbPb2
1.0
-0.370 4.768 0.637
-1.125 -0.709 4.651
5.417 -1.822 -1.484
Pb Sb Ca
2 1 1
Direct
0.000 0.000 0.000
0.750 0.250 0.500
0.500 0.500 0.000
0.250 0.750 0.500
```

For the total DFT energy (no corrections), the calculation gives -16.17 eV per cell. The value obtained for the uncorrected formation energy is -35.84 kJ per mole of atoms.

***

This record from the Alexandria database describes a relaxed structure of ZrFe3Rh. The functional is PBEsol.

```
ZrFe3Rh
1.0
4.356 0.000 0.000
0.000 4.356 0.000
0.000 0.000 4.356
Rh Fe Zr
1 3 1
Direct
0.500 0.500 0.500
0.000 0.500 0.000
0.000 0.000 0.500
0.500 0.000 0.000
0.000 0.000 0.000
```

As for the formation enthalpy at 0 K: 1.7057 eV per atom. For the total DFT energy (no corrections), the calculation gives -35.59 eV per cell.

***

This record from the Alexandria database describes a relaxed structure of AlIn2I. The functional is PBEsol.

```
AlIn2I
1.0
6.527 0.000 0.000
0.000 6.527 0.000
-3.264 -3.264 6.874
I Al In
2 2 4
Direct
0.250 0.750 0.500
0.000 0.000 0.000
0.750 0.250 0.500
0.500 0.500 0.000
0.444 0.875 0.250
0.806 0.375 0.250
0.125 0.194 0.750
0.625 0.556 0.750
```

For the total DFT energy (no corrections), the calculation gives -22.51 eV per cell. The value obtained for the uncorrected formation energy is 13.69 kJ per mole of atoms.

***

This record from the Alexandria database describes a relaxed structure of KCd3Te. The functional is PBEsol.

```
KCd3Te
1.0
-2.645 -4.905 1.635
-0.348 -1.663 -5.553
5.158 -2.627 0.464
K Te Cd
1 1 3
Direct
0.500 0.500 0.500
0.000 0.000 0.000
0.000 0.500 0.000
0.000 0.000 0.500
0.500 0.000 0.000
```

For the total DFT energy (no corrections), the calculation gives -6.89 eV per cell. The value obtained for the uncorrected formation energy is 26.26 kJ per mole of atoms.

***

This record from the Alexandria database describes a relaxed structure of CrSeBr2. The functional is PBEsol.

```
CrSeBr2
1.0
3.387 0.000 0.000
1.694 2.933 0.000
1.694 0.978 8.957
Br Cr Se
2 1 1
Direct
0.225 0.225 0.326
0.775 0.775 0.674
0.500 0.500 0.500
0.000 0.000 0.000
```

Its energy above the lowest structure with this stoichiometry is 0.0 meV/atom. For the total DFT energy (no corrections), the calculation gives -17.88 eV per cell. The value obtained for the uncorrected formation energy is -1.22 kJ per mole of atoms.

***

This record from the Alexandria database describes a relaxed structure of K2TiNiB. The functional is PBEsol.

```
K2TiNiB
1.0
4.228 0.000 0.000
0.000 5.713 0.000
0.000 0.000 5.713
Ni K B Ti
1 2 1 1
Direct
0.500 0.500 0.500
0.000 0.000 0.500
0.000 0.500 0.000
0.000 0.000 0.000
0.500 0.000 0.000
```

As for the formation enthalpy at 0 K: 1.4012 eV per atom. For the total DFT energy (no corrections), the calculation gives -16.76 eV per cell.

***

This record from the Alexandria database describes a relaxed structure of ZnCu2SnSe3S. The functional is PBEsol.

```
ZnCu2SnSe3S
1.0
-0.847 -4.844 -2.649
5.204 0.228 -2.016
-0.327 -0.461 6.817
Zn Cu Sn Se S
1 2 1 3 1
Direct
0.002 0.002 0.989
0.241 0.769 0.511
0.769 0.241 0.511
0.493 0.493 0.996
0.619 0.619 0.721
0.373 0.896 0.270
0.896 0.373 0.270
0.108 0.108 0.732
```

Its energy above the lowest structure with this stoichiometry is 3.3 meV/atom. For the total DFT energy (no corrections), the calculation gives -33.52 eV per cell. The value obtained for the uncorrected formation energy is -37.12 kJ per mole of atoms.

***

This record from the Alexandria database describes a relaxed structure of MnH8SN2O4F3. The functional is PBEsol.

```
MnH8SN2O4F3
1.0
7.465 -0.135 0.000
-0.261 8.729 0.000
0.000 0.000 10.976
Mn H S N O F
4 32 4 8 16 12
Direct
0.500 0.000 0.000
0.500 0.500 0.500
0.000 0.000 0.000
0.000 0.500 0.500
0.176 0.318 0.725
0.824 0.182 0.225
0.824 0.682 0.275
0.176 0.818 0.775
0.042 0.353 0.846
0.958 0.147 0.346
0.958 0.647 0.154
0.042 0.853 0.654
0.253 0.432 0.843
0.747 0.068 0.343
0.747 0.568 0.157
0.253 0.932 0.657
0.216 0.240 0.865
0.784 0.260 0.365
0.784 0.760 0.135
0.216 0.740 0.635
0.554 0.150 0.648
0.446 0.350 0.148
0.446 0.850 0.352
0.554 0.650 0.852
0.742 0.263 0.638
0.258 0.237 0.138
0.258 0.737 0.362
0.742 0.763 0.862
0.682 0.179 0.774
0.318 0.321 0.274
0.318 0.821 0.226
0.682 0.679 0.726
0.756 0.070 0.658
0.244 0.430 0.158
0.244 0.930 0.342
0.756 0.570 0.842
0.748 0.301 0.001
0.252 0.199 0.501
0.252 0.699 0.999
0.748 0.801 0.499
0.174 0.335 0.819
0.826 0.165 0.319
0.826 0.665 0.181
0.174 0.835 0.681
0.686 0.166 0.680
0.314 0.334 0.180
0.314 0.834 0.320
0.686 0.666 0.820
0.117 0.289 0.565
0.883 0.211 0.065
0.883 0.711 0.435
0.117 0.789 0.935
0.612 0.191 0.938
0.388 0.309 0.438
0.388 0.809 0.062
0.612 0.691 0.562
0.654 0.396 0.088
0.346 0.104 0.588
0.346 0.604 0.912
0.654 0.896 0.412
0.832 0.394 0.902
0.168 0.106 0.402
0.168 0.606 0.098
0.832 0.894 0.598
0.472 0.439 0.656
0.528 0.061 0.156
0.528 0.561 0.344
0.472 0.939 0.844
0.967 0.050 0.842
0.033 0.450 0.342
0.033 0.950 0.158
0.967 0.550 0.658
0.235 0.104 0.996
0.765 0.396 0.496
0.765 0.896 0.004
0.235 0.604 0.504
```

For the total DFT energy (no corrections), the calculation gives -432.21 eV per cell.

***

This record from the Alexandria database describes a relaxed structure of SbTe2HPb. The functional is PBEsol.

```
SbTe2HPb
1.0
-0.291 -3.692 0.565
5.348 -0.152 1.765
-1.716 0.944 5.282
Pb Sb Te H
1 1 2 1
Direct
0.500 0.500 0.500
0.500 0.000 0.000
0.000 0.000 0.500
0.000 0.500 0.000
0.000 0.000 0.000
```

For the total DFT energy (no corrections), the calculation gives -17.90 eV per cell.

***

This record from the Alexandria database describes a relaxed structure of Li4LaOs. The functional is PBEsol.

```
Li4LaOs
1.0
5.122 0.000 0.000
2.561 4.436 0.000
2.561 1.479 4.182
La Li Os
1 4 1
Direct
0.000 0.000 0.000
0.380 0.380 0.380
0.380 0.380 0.860
0.860 0.380 0.380
0.380 0.860 0.380
0.750 0.750 0.750
```

As for the formation enthalpy at 0 K: 0.2780 eV per atom. For the total DFT energy (no corrections), the calculation gives -23.76 eV per cell.